Computed, not measured: an optimized crystal structure of Ni4RuPt3 at the PBE level of DFT.

Lattice parameters (Å, degrees): 8.124 3.817 7.663 90.00 117.99 90.00
Space group C2/m (No. 12)
Inequivalent atoms, fractional coordinates:
Ni 0.249 0.000 0.129 x4
Ni 0.250 0.000 0.620 x4
Ru 0.000 0.500 0.500 x2
Pt 0.000 0.500 0.000 x2
Pt 0.002 0.000 0.745 x4

Properties
* DFT total energy: -101.6 eV/cell
* crystal system: monoclinic



Computed, not measured: an optimized crystal structure of KSnI2N at the PBE level of DFT.

Lattice parameters (Å, degrees): 6.304 6.304 3.994 90.00 90.00 90.00
Space group P4/mmm (No. 123)
Inequivalent atoms, fractional coordinates:
K 0.000 0.000 0.000 x1
Sn 0.500 0.500 0.500 x1
I 0.000 0.500 0.500 x2
N 0.500 0.500 0.000 x1

Properties
* ΔE to the lowest computed polymorph: 0 meV/atom
* DFT total energy: -17.1 eV/cell
* crystal system: tetragonal
* energy relative to the elements, uncorrected: -0.114 eV/atom



Computed, not measured: an optimized crystal structure of CaMg2Ag2 at the PBE level of DFT.

Lattice parameters (Å, degrees): 4.301 4.301 12.802 90.00 90.00 90.00
Space group I4/mmm (No. 139)
Inequivalent atoms, fractional coordinates:
Ca 0.000 0.000 0.000 x2
Mg 0.000 0.500 0.250 x4
Ag 0.000 0.000 0.392 x4

Properties
* ΔE to the lowest computed polymorph: 0 meV/atom
* DFT total energy: -24.0 eV/cell
* crystal system: tetragonal



Computed, not measured: an optimized crystal structure of La2MgPb at the PBE level of DFT.

Lattice parameters (Å, degrees): 3.6430 3.6430 33.7776 90.00 90.00 120.00
Space group R-3m (No. 166, hexagonal axes)
Inequivalent atoms, fractional coordinates:
La 0.0000 0.0000 0.2490 x6
Mg 0.0000 0.0000 0.5000 x3
Pb 0.0000 0.0000 0.0000 x3

Properties
* DFT total energy: -47.0 eV/cell
* crystal system: trigonal



Computed, not measured: an optimized crystal structure of NaTaNb2Cr at the PBE level of DFT.

Lattice parameters (Å, degrees): 4.506 4.506 4.823 90.00 90.00 90.00
Space group P4/mmm (No. 123)
Inequivalent atoms, fractional coordinates:
Na 0.000 0.000 0.000 x1
Ta 0.000 0.000 0.500 x1
Nb 0.000 0.500 0.000 x2
Cr 0.500 0.500 0.500 x1

Properties
* DFT total energy: -30.1 eV/cell
* crystal system: tetragonal



Computed, not measured: an optimized crystal structure of TlAgHg2 at the PBE level of DFT.

Lattice parameters (Å, degrees): 3.359 3.359 8.670 90.00 90.00 90.00
Space group P4/mmm (No. 123)
Inequivalent atoms, fractional coordinates:
Tl 0.000 0.000 0.000 x1
Ag 0.000 0.000 0.500 x1
Hg 0.500 0.500 0.285 x2

Properties
* DFT total energy: -5.6 eV/cell
* crystal system: tetragonal



Computed, not measured: an optimized crystal structure of LaSn at the PBE level of DFT.

Lattice parameters (Å, degrees): 6.107 6.628 12.370 90.00 90.00 90.00
Space group P2_12_12_1 (No. 19)
Inequivalent atoms, fractional coordinates:
La 0.153 0.074 0.036 x4
La 0.172 0.670 0.816 x4
Sn 0.179 0.830 0.285 x4
Sn 0.183 0.567 0.079 x4

Properties
* DFT total energy: -83.0 eV/cell
* crystal system: orthorhombic



Computed, not measured: an optimized crystal structure of PrSm4In2 at the PBE level of DFT.

Lattice parameters (Å, degrees): 6.362 11.145 6.858 90.00 111.08 90.00
Space group P2_1/c (No. 14)
Inequivalent atoms, fractional coordinates:
Pr 0.000 0.000 0.000 x2
Sm 0.001 0.166 0.500 x4
Sm 0.499 0.720 0.500 x4
In 0.452 0.000 0.691 x4

Properties
* ΔE to the lowest computed polymorph: 0 meV/atom
* DFT total energy: -60.3 eV/cell
* crystal system: monoclinic



- Which formula does entry 3 have?
  CaMg2Ag2



- Which formula does entry 4 have?
  La2MgPb